(1)
! BaHf2BeSb, optimized geometry, DFT GGA-PBEsol; values from VASP
! Calculated volume (Å³ per atom): 32.69
! Uncorrected formation energy (eV per formula unit): 11.857
! Fermi-level density of states (states/eV per cell): 3.76
&SYSTEM
  ibrav = 0, nat = 5, ntyp = 4
/
ATOMIC_SPECIES
Hf 178.49 Hf.upf
Sb 121.76 Sb.upf
Ba 137.33 Ba.upf
Be 9.01 Be.upf
CELL_PARAMETERS angstrom
-4.1480 -2.3712 2.2832
2.3445 0.4502 4.7268
-2.5436 5.1884 0.7674
ATOMIC_POSITIONS crystal
Hf 0.5000 0.0000 0.0000
Hf 0.0000 0.5000 0.0000
Sb 0.0000 0.0000 0.5000
Ba 0.0000 0.0000 0.0000
Be 0.5000 0.5000 0.5000


(2)
! Ba2BeHg, optimized geometry, DFT GGA-PBEsol; values from VASP
! Calculated volume (Å³ per atom): 32.37
! DFT formation energy (meV per atom): 41
! Fermi-level density of states (states/eV per cell): 3.03
&SYSTEM
  ibrav = 0, nat = 4, ntyp = 3
/
ATOMIC_SPECIES
Be 9.01 Be.upf
Ba 137.33 Ba.upf
Hg 200.59 Hg.upf
CELL_PARAMETERS angstrom
5.6785 0.0000 0.0000
2.8392 4.9177 0.0000
2.8392 1.6392 4.6364
ATOMIC_POSITIONS crystal
Be 0.0000 0.0000 0.0000
Ba 0.7500 0.7500 0.7500
Ba 0.2500 0.2500 0.2500
Hg 0.5000 0.5000 0.5000


(3)
! Ba2BeHg, optimized geometry, DFT GGA-PBEsol; values from VASP
! Calculated volume (Å³ per atom): 36.49
! DFT formation energy (meV per atom): 362
! Fermi-level density of states (states/eV per cell): 9.51
&SYSTEM
  ibrav = 0, nat = 8, ntyp = 3
/
ATOMIC_SPECIES
Ba 137.33 Ba.upf
Hg 200.59 Hg.upf
Be 9.01 Be.upf
CELL_PARAMETERS angstrom
7.2637 -0.1786 0.0000
-3.0798 6.5809 0.0000
-2.0919 -3.2011 6.1781
ATOMIC_POSITIONS crystal
Ba 0.6250 0.1471 0.0221
Ba 0.8529 0.8750 0.4779
Ba 0.3971 0.3750 0.5221
Ba 0.1250 0.6029 0.9779
Hg 0.2500 0.7500 0.5000
Hg 0.0000 0.0000 0.0000
Be 0.7500 0.2500 0.5000
Be 0.5000 0.5000 0.0000


(4)
! Ba2BeHg, optimized geometry, DFT GGA-PBEsol; values from VASP
! Calculated volume (Å³ per atom): 32.85
! DFT formation energy (meV per atom): 167
! Fermi-level density of states (states/eV per cell): 3.06
&SYSTEM
  ibrav = 0, nat = 4, ntyp = 3
/
ATOMIC_SPECIES
Hg 200.59 Hg.upf
Ba 137.33 Ba.upf
Be 9.01 Be.upf
CELL_PARAMETERS angstrom
3.7561 0.0000 0.0000
0.0000 3.7561 0.0000
0.0000 0.0000 9.3127
ATOMIC_POSITIONS crystal
Hg 0.5000 0.5000 0.6817
Ba 0.0000 0.0000 0.9199
Ba 0.5000 0.5000 0.3327
Be 0.0000 0.0000 0.5658